Crystalline NdPdBr at its relaxed geometry. Source: Alexandria via LeMat-Bulk, functional GGA-PBE.

a b c (Å): 7.5060 7.8410 7.5060
angles (deg): 72.79 67.54 107.21
Sites, in units of the cell vectors:
Br  0.9045  0.2595  0.4469
Br  0.8949  0.2405  0.9564
Br  0.8031  0.7595  0.3455
Br  0.2936  0.7405  0.3551
Nd  0.0417  0.9340  0.5473
Nd  0.7027  0.4340  0.2083
Nd  0.5186  0.0660  0.8924
Nd  0.3576  0.5660  0.7314
Pd  0.3234  0.2095  0.6500
Pd  0.6000  0.7095  0.9266
Pd  0.3639  0.2905  0.1095
Pd  0.1405  0.7905  0.8861

Summary:
Raw formation energy = -0.9735 eV per atom
Space-group type = Fdd2 (43)

***

Crystalline Sr3YOs at its relaxed geometry. Source: Alexandria via LeMat-Bulk, functional GGA-PBE.

a b c (Å): 5.8344 5.8344 5.8344
angles (deg): 90.00 90.00 90.00
Sites, in units of the cell vectors:
Y  0.5000  0.5000  0.5000
Sr  0.0000  0.5000  0.0000
Sr  0.0000  0.0000  0.5000
Sr  0.5000  0.0000  0.0000
Os  0.0000  0.0000  0.0000

Summary:
Excess energy over the best structure of this formula in the dataset = 0.000 eV per atom
Space-group type = Pm-3m (221)

***

Crystalline SmMg9Zn3 at its relaxed geometry. Source: Alexandria via LeMat-Bulk, functional GGA-PBE.

a b c (Å): 5.6884 7.4852 7.5122
angles (deg): 82.04 67.75 68.56
Sites, in units of the cell vectors:
Sm  0.0000  0.0000  0.0000
Mg  0.7080  0.7900  0.7818
Mg  0.2920  0.2100  0.2182
Mg  0.5101  0.2100  0.7818
Mg  0.4899  0.7900  0.2182
Mg  0.6506  0.3405  0.3542
Mg  0.3494  0.6595  0.6458
Mg  0.9952  0.6595  0.3542
Mg  0.0048  0.3405  0.6458
Mg  0.0000  0.5000  0.0000
Zn  0.5000  0.5000  0.0000
Zn  0.0000  0.0000  0.5000
Zn  0.5000  0.0000  0.5000

Summary:
Space-group type = C2/m (12)

***

Crystalline Tb2Sm2DyY6 at its relaxed geometry. Source: Alexandria via LeMat-Bulk, functional GGA-PBE.

a b c (Å): 6.6696 6.6696 12.0068
angles (deg): 101.66 101.66 129.51
Sites, in units of the cell vectors:
Tb  0.2929  0.7071  0.5000
Tb  0.7071  0.2929  0.5000
Sm  0.8668  0.1332  0.0000
Sm  0.1332  0.8668  0.0000
Dy  0.0000  0.0000  0.5000
Y  0.7046  0.7046  0.7043
Y  0.1417  0.4464  0.7938
Y  0.2954  0.2954  0.2957
Y  0.4464  0.1417  0.7938
Y  0.8583  0.5536  0.2062
Y  0.5536  0.8583  0.2062

Summary:
Space-group type = Cmmm (65)

***

Raw total energy list, top to bottom, in eV per atom: -4.851, -3.906, -1.874, -5.500
Total magnetization list, top to bottom, in μB per cell: 0.00, 0.01, 0.00, 0.00